No. 1
Below is an optimized crystal structure of ZrCu2TeSe, with properties calculated at the PBE level.

Values from the calculation:
Energy relative to the elements, uncorrected, eV/f.u.: 1.81

abc: 4.3304 4.3304 8.4997
angles: 90.00 90.00 90.00
Last column: nearest neighbours and their distance in Å.
Space group P4/mmm (No. 123)
Symmetry-distinct sites (fractional):
Zr 0.0000 0.0000 0.0000 [1 per cell]  4 Te 3.06
Cu 0.0000 0.5000 0.5000 [2 per cell]  2 Se 2.17
Te 0.5000 0.5000 0.0000 [1 per cell]  4 Zr 3.06
Se 0.5000 0.5000 0.5000 [1 per cell]  4 Cu 2.17

***

No. 2
Below is an optimized crystal structure of Na3GeS3, with properties calculated at the PBE level.

Values from the calculation:
Energy relative to the elements, uncorrected, eV/f.u.: -4.79
Relative energy among the computed polymorphs, meV/atom: 95

abc: 9.0537 15.6583 5.6020
angles: 90.00 90.00 90.00
Last column: nearest neighbours and their distance in Å.
Space group Cmcm (No. 63)
Symmetry-distinct sites (fractional):
Na 0.0000 0.1706 0.2500 [4 per cell]  4 S 2.82-2.84
Na 0.2435 0.4146 0.2500 [8 per cell]  4 S 2.82-2.84
Ge 0.0000 0.3332 0.7500 [4 per cell]  3 S 2.25
S 0.0000 0.1896 0.7500 [4 per cell]  1 Ge 2.25
S 0.2149 0.4051 0.7500 [8 per cell]  1 Ge 2.25